# 1
Material: CaDyF
Method: DFT, PBE-GGA
State: optimized geometry

Cell lengths 3.677, 3.681, 11.987 Å; angles 90.00, 90.00, 119.96 degrees
Site moments in Bohr magnetons follow the coordinates.
Fractional positions:
1 Ca 0.445 0.890 0.000  0.14
2 Ca 0.445 0.890 0.500  0.05
3 Dy 0.777 0.554 0.253  0.28
4 Dy 0.777 0.554 0.747  0.28
5 F 0.112 0.223 0.886  0.03
6 F 0.112 0.223 0.114  0.03

Values from the calculation:
- symmetry = Amm2 (38)
- VASP energy (eV/cell) = -25.94



# 2
Material: Y4In
Method: DFT, PBE-GGA
State: optimized geometry

Cell lengths 9.253, 9.253, 9.253 Å; angles 152.89, 152.89, 38.71 degrees
Fractional positions:
1 Y 0.750 0.250 0.500
2 Y 0.250 0.750 0.500
3 Y 0.589 0.589 0.000
4 Y 0.411 0.411 0.000
5 In 0.000 0.000 0.000

Values from the calculation:
- symmetry = I4/mmm (139)
- formation enthalpy at 0 K (eV per atom) = 0.292
- polymorph energy (0 for the lowest one) (meV/atom) = 487



# 3
Material: Zr2OsCl
Method: DFT, PBE-GGA
State: optimized geometry

Cell lengths 4.936, 3.182, 4.936 Å; angles 90.00, 90.00, 90.00 degrees
Fractional positions:
1 Cl 0.000 0.250 0.375
2 Os 0.500 0.750 0.875
3 Zr 0.000 0.249 0.875
4 Zr 0.500 0.250 0.375

Values from the calculation:
- symmetry = P4/mmm (123)
- polymorph energy (0 for the lowest one) (meV/atom) = 210



# 4
Material: La3Pr4In
Method: DFT, PBE-GGA
State: optimized geometry

Cell lengths 7.186, 7.187, 10.613 Å; angles 90.00, 90.00, 90.00 degrees
Fractional positions:
1 Pr 0.000 0.314 0.000
2 Pr 0.000 0.314 0.500
3 Pr 0.250 0.064 0.261
4 Pr 0.250 0.564 0.739
5 Pr 0.500 0.814 0.500
6 Pr 0.500 0.814 0.000
7 Pr 0.750 0.564 0.739
8 Pr 0.750 0.064 0.261
9 In 0.000 0.814 0.500
10 In 0.500 0.314 0.500
11 La 0.000 0.814 0.000
12 La 0.250 0.064 0.739
13 La 0.250 0.564 0.261
14 La 0.500 0.314 0.000
15 La 0.750 0.564 0.261
16 La 0.750 0.064 0.739

Values from the calculation:
- symmetry = Pmna (53)
- formation enthalpy at 0 K (eV per atom) = -0.124
- polymorph energy (0 for the lowest one) (meV/atom) = 0



# 5
Material: Sm5Pu3N8
Method: DFT, PBE-GGA
State: optimized geometry

Cell lengths 7.084, 7.084, 7.066 Å; angles 59.91, 59.91, 60.00 degrees
Site moments in Bohr magnetons follow the coordinates.
Fractional positions:
1 Sm 0.500 0.000 0.000  0.12
2 Sm 0.500 0.500 0.000  0.12
3 Sm 0.000 0.000 0.000  0.10
4 Sm 0.000 0.500 0.000  0.12
5 Sm 0.500 0.500 0.500  0.09
6 Pu 0.500 0.000 0.500  4.60
7 Pu 0.000 0.000 0.500  4.60
8 Pu 0.000 0.500 0.500  4.60
9 N 0.250 0.250 0.735  -0.13
10 N 0.250 0.764 0.735  -0.13
11 N 0.764 0.250 0.735  -0.13
12 N 0.756 0.756 0.732  -0.16
13 N 0.750 0.750 0.265  -0.13
14 N 0.750 0.236 0.265  -0.13
15 N 0.236 0.750 0.265  -0.13
16 N 0.244 0.244 0.268  -0.16

Values from the calculation:
- symmetry = R-3m (166)
- VASP energy (eV/cell) = -155.62



# 6
Material: LaMnCd2
Method: DFT, PBE-GGA
State: optimized geometry

Cell lengths 3.431, 3.432, 8.043 Å; angles 90.00, 90.00, 90.00 degrees
Site moments in Bohr magnetons follow the coordinates.
Fractional positions:
1 Cd 0.000 0.000 0.974  -0.03
2 Cd 0.500 0.500 0.212  0.00
3 La 0.000 0.000 0.528  -0.29
4 Mn 0.500 0.500 0.786  3.61

Values from the calculation:
- symmetry = P4mm (99)
- formation enthalpy at 0 K (eV per atom) = 0.050